No. 1
Below is a relaxed SrPaS crystal, with properties calculated at the PBE-GGA level.

Geometry as POSCAR:
```
SrPaS
1.0
-3.689 -0.066 -0.421
2.109 -2.535 -1.704
-1.152 -8.655 11.449
Sr Pa S
2 2 2
direct
0.276 0.552 0.864 Sr
0.276 0.552 0.136 Sr
0.613 0.226 0.372 Pa
0.613 0.226 0.628 Pa
0.280 0.559 0.500 S
0.609 0.219 0.000 S
```

Computed properties:
E_form (uncorrected): -657 meV per atom
Spin magnetization: 0.2 μB per formula unit

No. 2
Below is a relaxed RbIn3Br4 crystal, with properties calculated at the PBE-GGA level.

Geometry as POSCAR:
```
RbIn3Br4
1.0
4.794 -0.062 0.079
0.048 7.951 2.322
-0.146 0.463 8.269
In Br Rb
3 4 1
direct
0.000 0.000 0.000 In
0.000 0.500 0.500 In
0.500 0.000 0.500 In
0.500 0.753 0.253 Br
0.000 0.756 0.744 Br
0.499 0.247 0.747 Br
0.000 0.244 0.256 Br
0.500 0.500 0.000 Rb
```

Computed properties:
E_form (uncorrected): -918 meV per atom
Spin magnetization: 0.0 μB per formula unit

No. 3
Below is a relaxed AcPr2Pb9 crystal, with properties calculated at the PBE-GGA level.

Geometry as POSCAR:
```
AcPr2Pb9
1.0
4.993 0.000 0.000
0.000 4.993 0.000
0.000 0.000 14.905
Pr Pb Ac
2 9 1
direct
0.000 0.000 0.664 Pr
0.000 0.000 0.336 Pr
0.500 0.500 0.000 Pb
0.500 0.500 0.664 Pb
0.500 0.000 0.172 Pb
0.500 0.000 0.500 Pb
0.500 0.500 0.336 Pb
0.500 0.000 0.828 Pb
0.000 0.500 0.828 Pb
0.000 0.500 0.172 Pb
0.000 0.500 0.500 Pb
0.000 0.000 0.000 Ac
```

Computed properties:
Spin magnetization: 0.0 μB per formula unit
Energy: -4.314 eV/atom